Below is a relaxed structure of NdHoIr, with properties calculated at the PBE level.

Cell: 4.5786 4.5786 8.0263 Å, 106.51 106.51 90.05°
Last column: nearest neighbours and their distance in Å.
Sites, in units of the cell vectors:
Nd1 0.1859 0.1859 0.3721  1 Ir 2.79
Nd2 0.8141 0.8141 0.6279  1 Ir 2.79
Ho1 0.0000 0.5000 0.0000  4 Ir 2.93, 4 Ho 3.24
Ho2 0.5000 0.0000 0.0000  4 Ir 2.93, 4 Ho 3.24
Ir1 0.3766 0.3766 0.7517  1 Nd 2.79, 4 Ho 2.93
Ir2 0.6234 0.6234 0.2483  1 Nd 2.79, 4 Ho 2.93

Results
For the total energy, the calculation gives -0.487 Ry per atom. For the density, the calculation gives 10.8 g/cm3. The formation enthalpy at 0 K comes out at -0.5633 eV per atom.